CeHg6 | the Alexandria database | GGA-PBE | optimized geometry; energy relative to the elements = -0.17 eV per atom; energy relative to the lowest polymorph listed for this composition = 0 meV per atom; final energy = -1.272 eV/atom
1.0
5.072 0.000 0.000
0.000 5.072 0.000
0.000 0.000 7.340
Ce Hg
1 6
direct
0.000 0.000 0.000 Ce
0.000 0.000 0.500 Hg
0.000 0.500 0.277 Hg
0.000 0.500 0.723 Hg
0.500 0.000 0.277 Hg
0.500 0.000 0.723 Hg
0.500 0.500 0.000 Hg